Record 1
Compound: Ac6Ir2OsI3
Source: Alexandria
Functional: GGA-PBE
Structure: optimized geometry

Results
- Electronic total energy: -138.36 eV/cell
- DOS at the Fermi energy: 0.377 states/eV per atom
- Raw formation energy: -0.911 eV per atom

Geometry as CIF:
```
data_Ac6Ir2OsI3
_cell_length_a 7.6011
_cell_length_b 13.1651
_cell_length_c 8.9771
_cell_angle_alpha 90.00
_cell_angle_beta 106.38
_cell_angle_gamma 90.00
_symmetry_space_group_name_H-M 'C 1 2/m 1'
_symmetry_Int_Tables_number 12
loop_
_symmetry_equiv_pos_as_xyz
'x,y,z'
'-x,-y,-z'
'-x,y,-z'
'x,-y,z'
'x+1/2,y+1/2,z'
'-x+1/2,-y+1/2,-z'
'-x+1/2,y+1/2,-z'
'x+1/2,-y+1/2,z'
loop_
_atom_site_label
_atom_site_type_symbol
_atom_site_fract_x
_atom_site_fract_y
_atom_site_fract_z
Ac1 Ac 0.2259 0.1647 0.1837
Ac2 Ac 0.2317 0.5000 0.1837
Ir1 Ir 0.0000 0.3333 0.0000
Os1 Os 0.0000 0.0000 0.0000
I1 I 0.0000 0.1658 0.5000
I2 I 0.0000 0.5000 0.5000
```

Record 2
Compound: Sr2RhSe
Source: Alexandria
Functional: GGA-PBE
Structure: optimized geometry

Results
- Electronic total energy: -34.19 eV/cell
- DOS at the Fermi energy: 0.880 states/eV per atom
- Raw formation energy: -0.724 eV per atom

Geometry as CIF:
```
data_Sr2RhSe
_cell_length_a 4.2347
_cell_length_b 4.2721
_cell_length_c 14.0624
_cell_angle_alpha 90.00
_cell_angle_beta 90.00
_cell_angle_gamma 90.00
_symmetry_space_group_name_H-M 'I m m 2'
_symmetry_Int_Tables_number 44
loop_
_symmetry_equiv_pos_as_xyz
'x,y,z'
'-x,-y,z'
'-x,y,z'
'x,-y,z'
'x+1/2,y+1/2,z+1/2'
'-x+1/2,-y+1/2,z+1/2'
'-x+1/2,y+1/2,z+1/2'
'x+1/2,-y+1/2,z+1/2'
loop_
_atom_site_label
_atom_site_type_symbol
_atom_site_fract_x
_atom_site_fract_y
_atom_site_fract_z
Sr1 Sr 0.0000 0.0000 0.0000
Sr2 Sr 0.0000 0.5000 0.2349
Rh1 Rh 0.0000 0.5000 0.6633
Se1 Se 0.0000 0.0000 0.5638
```

Record 3
Compound: MgAsSe
Source: Alexandria
Functional: GGA-PBE
Structure: optimized geometry

Results
- Energy above the lowest structure with this stoichiometry: 1.232 eV/f.u.
- Electronic total energy: -37.97 eV/cell
- DOS at the Fermi energy: 0.617 states/eV per atom
- Raw formation energy: 0.079 eV per atom

Geometry as CIF:
```
data_MgAsSe
_cell_length_a 6.6061
_cell_length_b 6.6061
_cell_length_c 6.6061
_cell_angle_alpha 90.00
_cell_angle_beta 90.00
_cell_angle_gamma 90.00
_symmetry_space_group_name_H-M 'F -4 3 m'
_symmetry_Int_Tables_number 216
_symmetry_space_group_name_Hall 'F -4 2 3'
loop_
_atom_site_label
_atom_site_type_symbol
_atom_site_fract_x
_atom_site_fract_y
_atom_site_fract_z
Mg1 Mg 0.0000 0.0000 0.0000
As1 As 0.0000 0.0000 0.5000
Se1 Se 0.2500 0.2500 0.2500
```

Record 4
Compound: Co2MoAs
Source: Alexandria
Functional: GGA-PBE
Structure: optimized geometry

Results
- Electronic total energy: -58.95 eV/cell
- Formation energy from the elements: 54 meV per atom
- DOS at the Fermi energy: 0.831 states/eV per atom

Geometry as CIF:
```
data_Co2MoAs
_cell_length_a 3.1174
_cell_length_b 4.0803
_cell_length_c 8.0387
_cell_angle_alpha 90.00
_cell_angle_beta 90.00
_cell_angle_gamma 90.00
_symmetry_space_group_name_H-M 'I m m m'
_symmetry_Int_Tables_number 71
_symmetry_space_group_name_Hall '-I 2 2'
loop_
_atom_site_label
_atom_site_type_symbol
_atom_site_fract_x
_atom_site_fract_y
_atom_site_fract_z
Co1 Co 0.0000 0.0000 0.2301
Mo1 Mo 0.0000 0.5000 0.0000
As1 As 0.0000 0.5000 0.5000
```

Record 5
Compound: LiCaW2
Source: Alexandria
Functional: GGA-PBE
Structure: optimized geometry

Results
- Energy above the lowest structure with this stoichiometry: 0.637 eV/f.u.
- Electronic total energy: -54.23 eV/cell
- Formation energy from the elements: 677 meV per atom
- DOS at the Fermi energy: 0.991 states/eV per atom

Geometry as CIF:
```
data_LiCaW2
_cell_length_a 9.2400
_cell_length_b 2.6988
_cell_length_c 6.1085
_cell_angle_alpha 90.00
_cell_angle_beta 92.23
_cell_angle_gamma 90.00
_symmetry_space_group_name_H-M 'C 1 m 1'
_symmetry_Int_Tables_number 8
loop_
_symmetry_equiv_pos_as_xyz
'x,y,z'
'x,-y,z'
'x+1/2,y+1/2,z'
'x+1/2,-y+1/2,z'
loop_
_atom_site_label
_atom_site_type_symbol
_atom_site_fract_x
_atom_site_fract_y
_atom_site_fract_z
Li1 Li 0.0000 0.0000 0.0000
Ca1 Ca 0.2547 0.5000 0.2820
W1 W 0.0079 0.5000 0.5854
W2 W 0.2587 0.0000 0.7627
```

Record 6
Compound: TaGaGe
Source: Alexandria
Functional: GGA-PBE
Structure: optimized geometry

Results
- Energy above the lowest structure with this stoichiometry: 0.382 eV/f.u.
- Electronic total energy: -39.28 eV/cell
- Formation energy from the elements: -48 meV per atom
- DOS at the Fermi energy: 0.444 states/eV per atom

Geometry as CIF:
```
data_TaGaGe
_cell_length_a 3.6367
_cell_length_b 3.6367
_cell_length_c 7.9229
_cell_angle_alpha 90.00
_cell_angle_beta 90.00
_cell_angle_gamma 90.00
_symmetry_space_group_name_H-M 'P 4/n m m'
_symmetry_Int_Tables_number 129
loop_
_symmetry_equiv_pos_as_xyz
'x,y,z'
'-x,-y,-z'
'-y+1/2,x,z'
'y+1/2,-x,-z'
'-x+1/2,-y+1/2,z'
'x+1/2,y+1/2,-z'
'y,-x+1/2,z'
'-y,x+1/2,-z'
'x+1/2,-y,-z'
'-x+1/2,y,z'
'-y,-x,-z'
'y,x,z'
'-x,y+1/2,-z'
'x,-y+1/2,z'
'y+1/2,x+1/2,-z'
'-y+1/2,-x+1/2,z'
loop_
_atom_site_label
_atom_site_type_symbol
_atom_site_fract_x
_atom_site_fract_y
_atom_site_fract_z
Ta1 Ta 0.2500 0.2500 0.2260
Ga1 Ga 0.2500 0.7500 0.5000
Ge1 Ge 0.2500 0.2500 0.8659
```